## ZrTi5Ga3 (PBE-GGA)

Data for an optimized crystal structure of ZrTi5Ga3.

It has space group P6_3/mcm (No. 193), with a = 7.9292 Å, b = 7.9292 Å, c = 5.5686 Å, α = 90.00°, β = 90.00° and γ = 120.00°. The distinct sites, in fractional coordinates, are Zr at (0.0000, 0.0000, 0.0000), Ti at (0.0000, 0.3367, 0.2500), Ti at (0.3333, 0.6667, 0.0000) and Ga at (0.0000, 0.3368, 0.7500).

Its distance to the lowest polymorph of the same formula is 0.0 meV per atom. Its crystal system is hexagonal. The calculation puts the density of states at the Fermi level at 1.258 states/eV per atom. As for the total magnetization: 0.00 μB per formula unit. For the density, the calculation gives 5.91 g cm⁻³.

***

## Ac2Zn3CuAu4 (PBE-GGA)

Data for an optimized crystal structure of Ac2Zn3CuAu4.

It has space group P-4m2 (No. 115), with a = 4.551 Å, b = 4.551 Å, c = 10.624 Å, α = 90.00°, β = 90.00° and γ = 90.00°. The distinct sites, in fractional coordinates, are Ac at (0.000, 0.500, 0.245), Zn at (0.000, 0.000, 0.000), Zn at (0.000, 0.500, 0.626), Cu at (0.500, 0.500, 0.000), Au at (0.000, 0.000, 0.500), Au at (0.000, 0.500, 0.871) and Au at (0.500, 0.500, 0.500).

Its crystal system is tetragonal. The calculation puts the density of states at the Fermi level at 0.583 states/eV per atom. As for the total magnetization: 0.00 μB per formula unit. As for the calculated total energy: -3.443 eV/atom. For the density, the calculation gives 11.33 g cm⁻³.

***

## Th2TlPb (PBE-GGA)

Data for an optimized crystal structure of Th2TlPb.

It has space group R3m (No. 160, hexagonal axes), with a = 4.2361 Å, b = 4.2361 Å, c = 26.0779 Å, α = 90.00°, β = 90.00° and γ = 120.00°. The distinct sites, in fractional coordinates, are Th at (0.0000, 0.0000, 0.0000), Th at (0.0000, 0.0000, 0.1763), Tl at (0.0000, 0.0000, 0.4211) and Pb at (0.0000, 0.0000, 0.5889).

Its crystal system is trigonal. The calculation puts the density of states at the Fermi level at 1.149 states/eV per atom. As for the total magnetization: 0.00 μB per formula unit. As for the calculated total energy: -5.188 eV/atom. For the density, the calculation gives 10.76 g cm⁻³.

***

## Ac3Mg2GaPd9 (PBE-GGA)

Data for an optimized crystal structure of Ac3Mg2GaPd9.

It has space group P-3m1 (No. 164), with a = 7.3375 Å, b = 7.3375 Å, c = 7.1759 Å, α = 90.00°, β = 90.00° and γ = 120.00°. The distinct sites, in fractional coordinates, are Ac at (0.0000, 0.0000, 0.0000), Ac at (0.3333, 0.6667, 0.6678), Mg at (0.3333, 0.6667, 0.1692), Ga at (0.0000, 0.0000, 0.5000), Pd at (0.0000, 0.5000, 0.0000) and Pd at (0.1639, 0.3278, 0.3340).

Its crystal system is trigonal. The calculation puts the density of states at the Fermi level at 0.365 states/eV per atom. As for the total magnetization: 0.00 μB per formula unit. As for the calculated total energy: -4.837 eV/atom. For the density, the calculation gives 8.72 g cm⁻³.

***

## HfAg2F5 (PBE-GGA)

Data for an optimized crystal structure of HfAg2F5.

It has space group Cmcm (No. 63), with a = 4.074 Å, b = 10.530 Å, c = 15.642 Å, α = 90.00°, β = 90.00° and γ = 90.00°. The distinct sites, in fractional coordinates, are Hf at (0.000, 0.075, 0.250), Ag at (0.000, 0.230, 0.559), F at (0.000, 0.055, 0.660), F at (0.000, 0.209, 0.159) and F at (0.000, 0.419, 0.750).

Its crystal system is orthorhombic. The calculation puts the density of states at the Fermi level at 0.115 states/eV per atom. The formation energy without anion corrections is -2486 meV per atom. As for the total magnetization: 0.00 μB per formula unit. For the density, the calculation gives 4.84 g cm⁻³.

***

## KInHg5 (PBE-GGA)

Data for an optimized crystal structure of KInHg5.

It has space group P4/mmm (No. 123), with a = 5.116 Å, b = 5.116 Å, c = 8.224 Å, α = 90.00°, β = 90.00° and γ = 90.00°. The distinct sites, in fractional coordinates, are K at (0.000, 0.000, 0.000), In at (0.000, 0.000, 0.500), Hg at (0.000, 0.500, 0.286) and Hg at (0.500, 0.500, 0.000).

Its distance to the lowest polymorph of the same formula is 0.0 meV per atom. Its crystal system is tetragonal. The calculation puts the density of states at the Fermi level at 0.303 states/eV per atom. As for the total magnetization: 0.00 μB per formula unit. For the density, the calculation gives 8.92 g cm⁻³.